Arrangement i

Be2NbW2, relaxed, DFT PBE-GGA; volume = 13.106 A^3/atom; magnetization = 0.00 μB per cell
1.0
-0.0692 6.3304 0.3028
-3.0614 0.2318 -5.5448
-2.8566 -0.1064 1.5728
Be W Nb
4 4 2
Direct
0.6150 0.1150 0.0000
0.8850 0.6150 0.0000
0.3850 0.8850 0.0000
0.1150 0.3850 0.0000
0.3236 0.1764 0.5000
0.6764 0.8236 0.5000
0.1764 0.6764 0.5000
0.8236 0.3236 0.5000
0.0000 0.0000 0.0000
0.5000 0.5000 0.0000

***

Arrangement ii

Be2NbW2, relaxed, DFT PBE-GGA; volume = 13.956 A^3/atom; magnetization = 0.00 μB per cell
1.0
-0.4688 3.5617 0.5664
-0.6676 -0.6470 3.5159
4.5732 1.9639 3.1106
W Nb Be
2 1 2
Direct
0.2500 0.7500 0.5000
0.7500 0.2500 0.5000
0.0000 0.0000 0.0000
0.5919 0.5919 0.8163
0.4081 0.4081 0.1837

***

Need the numbers? Relative energies in meV/atom: arrangement i 0; arrangement ii 233.

***

Arrangement i

YBe2Nb, relaxed, DFT PBE-GGA; volume = 17.391 A^3/atom; magnetization = 0.00 μB per cell
1.0
-0.3298 -6.5712 2.8824
2.6998 -2.7871 -6.0449
3.6806 -4.3767 -0.6061
Be Nb Y
4 2 2
Direct
0.3750 0.3414 0.7500
0.0914 0.6250 0.2500
0.6586 0.1250 0.2500
0.8750 0.9086 0.7500
0.7500 0.2500 0.5000
0.0000 0.0000 0.0000
0.5000 0.5000 0.0000
0.2500 0.7500 0.5000

***

Arrangement ii

YBe2Nb, relaxed, DFT PBE-GGA; volume = 16.211 A^3/atom; magnetization = 0.00 μB per cell
1.0
0.8374 2.9638 3.2940
-3.0626 0.7005 3.2351
0.7804 -1.4541 4.1967
Be Nb Y
2 1 1
Direct
0.7500 0.7500 0.7500
0.2500 0.2500 0.2500
0.5000 0.5000 0.5000
0.0000 0.0000 0.0000

***

Need the numbers? Relative energies in meV/atom: arrangement i 387; arrangement ii 0.